1.
VASP calculation (PBE) on CdFe2P after structural relaxation.

Results
- Crystal system: tetragonal
- Symmetry: No. 123
- Formation enthalpy at 0 K: 0.351 eV/atom
- Relative energy among the computed polymorphs: 0.384 eV per atom
- E_tot: -5.462 eV/atom

abc: 3.8853 3.8856 3.8155
angles: 90.00 90.00 90.00
Element x y z (fractional)
Cd 0.0000 0.5000 0.5000
Fe 0.0000 0.0000 0.0000
Fe 0.5000 0.5000 0.0000
P 0.5000 0.0000 0.5000

2.
VASP calculation (PBE) on Fe2TcMo2 after structural relaxation.

Results
- Crystal system: tetragonal
- Symmetry: No. 127
- Formation enthalpy at 0 K: 0.185 eV/atom
- Relative energy among the computed polymorphs: 0.000 eV per atom
- E_tot: -9.606 eV/atom

abc: 6.8339 6.8339 2.8997
angles: 90.00 90.00 90.00
Element x y z (fractional)
Mo 0.1725 0.6725 0.5000
Mo 0.6725 0.8275 0.5000
Mo 0.8275 0.3275 0.5000
Mo 0.3275 0.1725 0.5000
Tc 0.0000 0.0000 0.0000
Tc 0.5000 0.5000 0.0000
Fe 0.3726 0.8726 0.0000
Fe 0.8726 0.6274 0.0000
Fe 0.6274 0.1274 0.0000
Fe 0.1274 0.3726 0.0000

3.
VASP calculation (PBE) on NaCa2InCl8 after structural relaxation.

Results
- Formation energy without anion corrections: -1.844 eV/atom
- Crystal system: monoclinic
- Symmetry: No. 10
- E_tot: -3.747 eV/atom

abc: 6.4408 6.2625 8.2974
angles: 90.00 90.00 90.09
Element x y z (fractional)
Na 0.0000 0.0000 0.5000
Ca 0.5000 0.5000 0.7468
Ca 0.5000 0.5000 0.2532
In 0.0000 0.0000 0.0000
Cl 0.1676 0.7857 0.2240
Cl 0.6820 0.7330 0.0000
Cl 0.8323 0.2143 0.2239
Cl 0.8324 0.2143 0.7760
Cl 0.3180 0.2670 0.0000
Cl 0.1677 0.7857 0.7761
Cl 0.6746 0.7139 0.5000
Cl 0.3254 0.2861 0.5000

4.
VASP calculation (PBE) on Tm2HgPb3 after structural relaxation.

Results
- Crystal system: orthorhombic
- Symmetry: No. 63
- Formation enthalpy at 0 K: -0.100 eV/atom
- Relative energy among the computed polymorphs: 0.240 eV per atom
- E_tot: -3.495 eV/atom

abc: 4.9069 9.2689 9.2689
angles: 120.66 90.00 90.00
Element x y z (fractional)
Tm 0.4930 0.8349 0.6187
Tm 0.9930 0.3813 0.1651
Tm 0.4930 0.6187 0.8349
Tm 0.9930 0.1651 0.3813
Hg 0.9928 0.5779 0.5779
Hg 0.4928 0.4221 0.4221
Pb 0.9931 0.8264 0.3881
Pb 0.4931 0.6119 0.1736
Pb 0.9931 0.3881 0.8264
Pb 0.4931 0.1736 0.6119
Pb 0.4929 0.0984 0.0984
Pb 0.9929 0.9016 0.9016

5.
VASP calculation (PBE) on Dy4TmGa4 after structural relaxation.

Results
- Crystal system: tetragonal
- Symmetry: No. 87
- Formation enthalpy at 0 K: -0.391 eV/atom
- E_tot: -4.278 eV/atom

abc: 4.7014 9.9858 9.9858
angles: 90.00 90.00 90.00
Element x y z (fractional)
Dy 0.5002 0.3705 0.8558
Dy 0.0002 0.6442 0.8705
Dy 0.5002 0.6295 0.1442
Dy 0.9998 0.1295 0.6442
Dy 0.4998 0.8558 0.6295
Dy 0.9998 0.8705 0.3558
Dy 0.0002 0.3558 0.1295
Dy 0.4998 0.1442 0.3705
Tm 0.0000 0.0000 0.0000
Tm 0.5000 0.5000 0.5000
Ga 0.4999 0.9279 0.1722
Ga 0.4999 0.0721 0.8278
Ga 0.9999 0.6722 0.5721
Ga 0.0001 0.4279 0.6722
Ga 0.0001 0.5721 0.3278
Ga 0.5001 0.1722 0.0721
Ga 0.5001 0.8278 0.9279
Ga 0.9999 0.3278 0.4279

6.
VASP calculation (PBE) on Tb7Ho3Er after structural relaxation.

Results
- Crystal system: monoclinic
- Symmetry: No. 12
- Formation enthalpy at 0 K: 0.266 eV/atom
- Relative energy among the computed polymorphs: 0.127 eV per atom
- E_tot: -4.343 eV/atom

abc: 5.7777 8.3793 8.3793
angles: 82.97 110.21 110.21
Element x y z (fractional)
Tb 0.2102 0.2087 0.2087
Tb 0.3038 0.0098 0.5984
Tb 0.6962 0.4016 0.9902
Tb 0.3038 0.5984 0.0098
Tb 0.0000 0.5000 0.5000
Tb 0.6962 0.9902 0.4016
Tb 0.7898 0.7913 0.7913
Ho 0.0000 0.7939 0.2061
Ho 0.5000 0.0000 0.0000
Ho 0.0000 0.2061 0.7939
Er 0.5000 0.5000 0.5000

7.
VASP calculation (PBE) on Ca2AgSnH after structural relaxation.

Results
- Crystal system: tetragonal
- Symmetry: No. 123
- E_tot: -3.298 eV/atom

abc: 5.0555 5.0555 4.1617
angles: 90.00 90.00 90.00
Element x y z (fractional)
H 0.0000 0.0000 0.0000
Ca 0.0000 0.5000 0.0000
Ca 0.5000 0.0000 0.0000
Sn 0.5000 0.5000 0.5000
Ag 0.0000 0.0000 0.5000

8.
VASP calculation (PBE) on Nd6PdSe5 after structural relaxation.

Results
- Formation energy without anion corrections: -1.669 eV/atom
- Crystal system: monoclinic
- Symmetry: No. 12
- E_tot: -5.938 eV/atom

abc: 7.3323 7.3323 7.3355
angles: 99.65 99.65 119.89
Element x y z (fractional)
Nd 0.4121 0.0805 0.2460
Nd 0.9195 0.5879 0.7540
Nd 0.2479 0.2479 0.7498
Nd 0.7521 0.7521 0.2502
Nd 0.0805 0.4121 0.2460
Nd 0.5879 0.9195 0.7540
Se 0.8298 0.1702 0.5000
Se 0.6654 0.3346 0.0000
Se 0.5000 0.5000 0.5000
Se 0.3346 0.6654 0.0000
Se 0.1702 0.8298 0.5000
Pd 0.0000 0.0000 0.0000

Total moment / μB/f.u.: 5.5; 0.0; 0.0; 0.0; 0.0; 0.3; 0.0; 0.0